Here is a geometry-optimized SrFe5Bi4O15 structure from the Alexandria database. Energies are from PBE with a Hubbard U.

Magnetic moment = 16.0 μB per formula unit
ρ = 7.6 g cm⁻³
Uncorrected energy = -6.12 eV per atom
Space-group type = No. 1

Cell and atoms, written as POSCAR:
```
SrFe5Bi4O15
1.0
5.5733 0.0000 0.0000
-0.1287 6.9276 0.0000
-2.5837 -2.7117 8.2080
Sr Fe Bi O
1 5 4 15
Cartesian
0.0000 0.0000 0.0000 Sr
-0.0557 3.5811 0.0463 Fe
-0.0316 1.3029 3.0973 Fe
0.1266 -1.4116 6.6191 Fe
2.6405 5.8140 1.6050 Fe
2.7400 3.5354 4.7913 Fe
0.2562 4.5393 3.3792 Bi
0.4512 1.8444 6.5659 Bi
2.8772 2.0455 1.7803 Bi
3.2294 -0.0972 5.0927 Bi
-0.2597 2.2152 1.3536 O
-1.6959 4.8222 5.7585 O
-1.1673 0.1069 7.1563 O
1.0408 4.8361 1.0209 O
-0.0625 0.3266 4.7466 O
1.3558 0.3047 2.2814 O
1.3578 2.5932 3.6054 O
2.7851 0.3118 0.0381 O
1.0828 4.3730 5.4996 O
2.5245 4.9379 3.3944 O
1.6057 -0.0830 6.9634 O
3.8929 4.7456 0.5112 O
2.6883 2.2473 6.2031 O
4.0514 0.2249 2.4657 O
4.1751 2.6674 3.7079 O
```